Entry 1:
! Tb2DyHo2Er4, optimized geometry, DFT PBE-GGA; values from VASP
! SG: No. 12
! density of states at the Fermi level: 1.3095 states/eV per atom
! energy of formation from the pure elements: -0.04 kJ per mole of atoms
&SYSTEM
  ibrav = 0, nat = 9, ntyp = 4
/
ATOMIC_SPECIES
Tb 158.93 Tb.upf
Dy 162.50 Dy.upf
Ho 164.93 Ho.upf
Er 167.26 Er.upf
CELL_PARAMETERS angstrom
-2.208 -0.147 2.776
-3.724 -6.567 -5.580
7.089 -2.927 5.483
ATOMIC_POSITIONS crystal
Tb 0.852 0.704 0.334
Tb 0.148 0.296 0.666
Dy 0.000 0.000 0.000
Ho 0.333 0.667 0.999
Ho 0.667 0.333 0.001
Er 0.815 0.629 0.665
Er 0.185 0.371 0.335
Er 0.519 0.038 0.334
Er 0.481 0.962 0.666

Entry 2:
! Tb2DyHo2Er2, optimized geometry, DFT PBE-GGA; values from VASP
! SG: No. 166
! density of states at the Fermi level: 2.5729 states/eV per atom
! energy of formation from the pure elements: 13.94 kJ per mole of atoms
&SYSTEM
  ibrav = 0, nat = 7, ntyp = 4
/
ATOMIC_SPECIES
Tb 158.93 Tb.upf
Dy 162.50 Dy.upf
Ho 164.93 Ho.upf
Er 167.26 Er.upf
CELL_PARAMETERS angstrom
-5.038 -1.029 2.249
-0.416 -3.135 4.637
-1.144 5.240 6.838
ATOMIC_POSITIONS crystal
Tb 0.141 0.141 0.577
Tb 0.859 0.859 0.423
Dy 0.000 0.000 0.000
Ho 0.574 0.574 0.278
Ho 0.426 0.426 0.722
Er 0.716 0.716 0.851
Er 0.284 0.284 0.149

Entry 3:
! Tb2DyHo4Er2, optimized geometry, DFT PBE-GGA; values from VASP
! SG: No. 12
! density of states at the Fermi level: 1.3113 states/eV per atom
! energy of formation from the pure elements: 0.18 kJ per mole of atoms
&SYSTEM
  ibrav = 0, nat = 9, ntyp = 4
/
ATOMIC_SPECIES
Tb 158.93 Tb.upf
Dy 162.50 Dy.upf
Ho 164.93 Ho.upf
Er 167.26 Er.upf
CELL_PARAMETERS angstrom
-2.609 -1.713 -1.702
2.495 -6.445 6.373
-6.198 6.451 3.009
ATOMIC_POSITIONS crystal
Tb 0.852 0.704 0.334
Tb 0.148 0.296 0.666
Dy 0.000 0.000 0.000
Ho 0.815 0.630 0.666
Ho 0.185 0.370 0.334
Ho 0.519 0.037 0.333
Ho 0.481 0.963 0.667
Er 0.333 0.666 0.999
Er 0.667 0.334 0.001

Entry 4:
! Tb2Dy2Ho4Er, optimized geometry, DFT PBE-GGA; values from VASP
! SG: No. 12
! density of states at the Fermi level: 1.3016 states/eV per atom
! energy of formation from the pure elements: 0.06 kJ per mole of atoms
&SYSTEM
  ibrav = 0, nat = 9, ntyp = 4
/
ATOMIC_SPECIES
Tb 158.93 Tb.upf
Dy 162.50 Dy.upf
Ho 164.93 Ho.upf
Er 167.26 Er.upf
CELL_PARAMETERS angstrom
3.558 0.000 0.000
-1.779 9.228 -0.484
0.000 -3.654 8.718
ATOMIC_POSITIONS crystal
Tb 0.852 0.704 0.334
Tb 0.148 0.296 0.666
Dy 0.334 0.668 0.000
Dy 0.666 0.332 0.000
Ho 0.815 0.630 0.666
Ho 0.185 0.370 0.334
Ho 0.519 0.038 0.333
Ho 0.481 0.962 0.667
Er 0.000 0.000 0.000

Entry 5:
! Tb4DyHo2Er2, optimized geometry, DFT PBE-GGA; values from VASP
! SG: No. 12
! density of states at the Fermi level: 1.2973 states/eV per atom
! energy of formation from the pure elements: 0.32 kJ per mole of atoms
&SYSTEM
  ibrav = 0, nat = 9, ntyp = 4
/
ATOMIC_SPECIES
Tb 158.93 Tb.upf
Dy 162.50 Dy.upf
Ho 164.93 Ho.upf
Er 167.26 Er.upf
CELL_PARAMETERS angstrom
3.563 0.000 0.000
-1.782 9.239 -0.499
0.000 -3.644 8.735
ATOMIC_POSITIONS crystal
Tb 0.815 0.629 0.667
Tb 0.185 0.371 0.333
Tb 0.518 0.037 0.334
Tb 0.482 0.963 0.666
Dy 0.000 0.000 0.000
Ho 0.852 0.703 0.332
Ho 0.148 0.297 0.668
Er 0.333 0.666 0.000
Er 0.667 0.334 0.000

Entry 6:
! TbDy6Ho2Er, optimized geometry, DFT PBE-GGA; values from VASP
! SG: No. 15
! density of states at the Fermi level: 1.3790 states/eV per atom
! energy of formation from the pure elements: 11.60 kJ per mole of atoms
&SYSTEM
  ibrav = 0, nat = 20, ntyp = 4
/
ATOMIC_SPECIES
Tb 158.93 Tb.upf
Dy 162.50 Dy.upf
Ho 164.93 Ho.upf
Er 167.26 Er.upf
CELL_PARAMETERS angstrom
-1.062 9.255 -1.838
0.500 -2.227 -8.412
-7.732 -0.714 3.960
ATOMIC_POSITIONS crystal
Tb 0.250 0.977 0.023
Tb 0.750 0.023 0.977
Dy 0.056 0.124 0.752
Dy 0.444 0.248 0.876
Dy 0.944 0.876 0.248
Dy 0.556 0.752 0.124
Dy 0.315 0.982 0.431
Dy 0.185 0.569 0.018
Dy 0.685 0.018 0.569
Dy 0.815 0.431 0.982
Dy 0.120 0.709 0.495
Dy 0.380 0.505 0.291
Dy 0.880 0.291 0.505
Dy 0.620 0.495 0.709
Ho 0.456 0.802 0.698
Ho 0.044 0.302 0.198
Ho 0.544 0.198 0.302
Ho 0.956 0.698 0.802
Er 0.250 0.409 0.591
Er 0.750 0.591 0.409

Entry 7:
! Tb5Dy2HoEr, optimized geometry, DFT PBE-GGA; values from VASP
! SG: No. 36
! density of states at the Fermi level: 1.5869 states/eV per atom
! energy of formation from the pure elements: 14.60 kJ per mole of atoms
&SYSTEM
  ibrav = 0, nat = 18, ntyp = 4
/
ATOMIC_SPECIES
Tb 158.93 Tb.upf
Dy 162.50 Dy.upf
Ho 164.93 Ho.upf
Er 167.26 Er.upf
CELL_PARAMETERS angstrom
-0.913 5.483 0.279
-9.283 -4.407 0.698
0.965 -0.372 10.478
ATOMIC_POSITIONS crystal
Tb 0.388 0.776 0.022
Tb 0.719 0.438 0.809
Tb 0.480 0.960 0.740
Tb 0.300 0.600 0.707
Tb 0.982 0.965 0.522
Tb 0.612 0.224 0.522
Tb 0.281 0.562 0.309
Tb 0.520 0.040 0.240
Tb 0.700 0.400 0.207
Tb 0.018 0.035 0.022
Dy 0.886 0.772 0.817
Dy 0.111 0.221 0.737
Dy 0.114 0.228 0.317
Dy 0.889 0.779 0.237
Ho 0.800 0.601 0.511
Ho 0.200 0.399 0.011
Er 0.588 0.177 0.958
Er 0.412 0.823 0.458

Entry 8:
! TbDyHo2Er2, optimized geometry, DFT PBE-GGA; values from VASP
! SG: No. 58
! density of states at the Fermi level: 1.4826 states/eV per atom
! energy of formation from the pure elements: 27.27 kJ per mole of atoms
&SYSTEM
  ibrav = 0, nat = 12, ntyp = 4
/
ATOMIC_SPECIES
Tb 158.93 Tb.upf
Dy 162.50 Dy.upf
Ho 164.93 Ho.upf
Er 167.26 Er.upf
CELL_PARAMETERS angstrom
3.351 0.000 0.000
0.000 6.514 0.000
0.000 0.000 17.462
ATOMIC_POSITIONS crystal
Tb 0.000 0.000 0.000
Tb 0.500 0.500 0.500
Dy 0.500 0.500 0.000
Dy 0.000 0.000 0.500
Ho 0.500 0.770 0.351
Ho 0.500 0.230 0.649
Ho 0.000 0.730 0.851
Ho 0.000 0.270 0.149
Er 0.500 0.268 0.318
Er 0.000 0.768 0.182
Er 0.500 0.732 0.682
Er 0.000 0.232 0.818

Which of these has the lowest density of states at the Fermi level? Tb4DyHo2Er2

Which formula does entry 8 have? TbDyHo2Er2